Computed, not measured: a relaxed structure of Rb4Sm3GaS8 at the PBE level of DFT.

a = 8.1644 Å, b = 9.0329 Å, c = 8.1728 Å
α = 116.92°, β = 119.97°, γ = 90.00°
Element x y z (fractional)
Rb 0.5000 0.0000 0.5000
Sm 0.5000 0.5000 0.5000
S 0.2202 0.6892 0.4404
S 0.7324 0.6976 0.4648
Ga 0.0000 0.5000 0.0000
S 0.7818 0.3123 0.0306
Rb 0.5000 0.0000 0.0000
S 0.2182 0.6877 0.9694
Sm 0.0000 0.5000 0.5000
S 0.7798 0.3108 0.5596
S 0.2488 0.3123 0.0306
Rb 0.0000 0.0000 0.0000
S 0.2676 0.3024 0.5352
Sm 0.5000 0.5000 0.0000
Rb 0.0000 0.0000 0.5000
S 0.7512 0.6877 0.9694

size of the total moment = 0.0 μB/cell
energy relative to the elements, uncorrected = -1.52 eV/atom
V = 445.2 Å³/f.u.
symmetry = C2/m